1.
Entry from Alexandria via LeMat-Bulk: crystalline K2Ir at its relaxed geometry (GGA-PBE).

Summary:
**Crystal system**: tetragonal

```
K2Ir
1.0
3.142 0.000 0.000
0.000 3.142 0.000
0.000 0.000 18.397
K Ir
4 2
Cartesian
0.000 0.000 2.325 K
0.000 0.000 16.072 K
1.571 1.571 6.873 K
1.571 1.571 11.523 K
0.000 0.000 9.198 Ir
1.571 1.571 0.000 Ir
```


2.
Entry from Alexandria via LeMat-Bulk: crystalline K2Ir at its relaxed geometry (GGA-PBE).

Summary:
**Crystal system**: cubic

```
K2Ir
1.0
0.000 4.321 4.321
4.321 0.000 4.321
4.321 4.321 0.000
K Ir
4 2
Cartesian
0.000 0.000 0.000 K
2.160 2.160 0.000 K
2.160 0.000 2.160 K
0.000 2.160 2.160 K
3.241 3.241 3.241 Ir
5.401 5.401 5.401 Ir
```


3.
Entry from Alexandria via LeMat-Bulk: crystalline KIr5 at its relaxed geometry (GGA-PBE).

Summary:
**Crystal system**: monoclinic
**Relative energy among the computed polymorphs**: 0 meV/atom

```
KIr5
1.0
12.375 0.000 0.000
0.000 2.707 0.000
-1.058 0.000 6.547
K Ir
2 10
Cartesian
0.000 0.000 0.000 K
6.187 1.353 0.000 K
1.094 1.353 3.317 Ir
1.858 1.353 6.053 Ir
2.995 0.000 1.688 Ir
3.194 0.000 4.247 Ir
5.100 1.353 2.981 Ir
7.281 0.000 3.317 Ir
8.046 0.000 6.053 Ir
9.182 1.353 1.688 Ir
9.382 1.353 4.247 Ir
11.287 0.000 2.981 Ir
```


4.
Entry from Alexandria via LeMat-Bulk: crystalline K2Ir at its relaxed geometry (GGA-PBE).

Summary:
**Crystal system**: trigonal

```
K2Ir
1.0
3.159 0.000 0.000
-1.579 2.736 0.000
0.000 0.000 9.443
K Ir
2 1
Cartesian
0.000 1.824 2.545 K
1.579 0.912 6.897 K
0.000 0.000 0.000 Ir
```


Asked for size of the total moment across the records above, the calculation gives 0.4; 1.0; 0.0; 0.4 μB/f.u. in order.
Asked for energy across the records above, the calculation gives -2.786; -2.293; -7.228; -2.704 eV per atom in order.